Entry 1:
# MnIn2Cl

An optimized crystal structure of MnIn2Cl (PBE, the Alexandria database).

Values from the calculation:
excess energy over the best structure of this formula in the dataset: 282.4 meV per atom
raw formation energy: 0.147 eV per atom
VASP energy: -3.976 eV/atom
magnetization: 4.32 μB/f.u.

a = 5.7346 Å, b = 5.7346 Å, c = 5.7346 Å
α = 134.49°, β = 134.49°, γ = 66.32°
Sites, in units of the cell vectors:
Mn (0.0000, 0.0000, 0.0000)
In (0.2500, 0.7500, 0.5000)
In (0.7500, 0.2500, 0.5000)
Cl (0.5000, 0.5000, 0.0000)

=====

Entry 2:
# InCuC3

An optimized crystal structure of InCuC3 (PBE, the Alexandria database).

Values from the calculation:
excess energy over the best structure of this formula in the dataset: 0.0 meV per atom
VASP energy: -4.362 eV/atom
magnetization: 0.00 μB/f.u.
formation energy from the elements: 58.548 kcal/mol of atoms

a = 3.9550 Å, b = 3.9550 Å, c = 3.9550 Å
α = 90.00°, β = 90.00°, γ = 90.00°
Sites, in units of the cell vectors:
In (0.0000, 0.0000, 0.0000)
Cu (0.5000, 0.5000, 0.5000)
C (0.0000, 0.5000, 0.5000)
C (0.5000, 0.0000, 0.5000)
C (0.5000, 0.5000, 0.0000)

=====

Entry 3:
# ReSi2Sb

An optimized crystal structure of ReSi2Sb (PBE, the Alexandria database).

Values from the calculation:
raw formation energy: 0.613 eV per atom
VASP energy: -6.241 eV/atom
magnetization: 0.00 μB/f.u.

a = 7.1265 Å, b = 7.1265 Å, c = 7.1265 Å
α = 132.36°, β = 132.36°, γ = 69.67°
Sites, in units of the cell vectors:
Re (0.0000, 0.0000, 0.0000)
Re (0.7500, 0.2500, 0.5000)
Si (0.0748, 0.6250, 0.9498)
Si (0.3750, 0.3248, 0.4498)
Si (0.6752, 0.1250, 0.0502)
Si (0.8750, 0.9252, 0.5502)
Sb (0.2500, 0.7500, 0.5000)
Sb (0.5000, 0.5000, 0.0000)

=====

Please write out number 3 again, unchanged.
# ReSi2Sb

An optimized crystal structure of ReSi2Sb (PBE, the Alexandria database).

Values from the calculation:
raw formation energy: 0.613 eV per atom
VASP energy: -6.241 eV/atom
magnetization: 0.00 μB/f.u.

a = 7.1265 Å, b = 7.1265 Å, c = 7.1265 Å
α = 132.36°, β = 132.36°, γ = 69.67°
Sites, in units of the cell vectors:
Re (0.0000, 0.0000, 0.0000)
Re (0.7500, 0.2500, 0.5000)
Si (0.0748, 0.6250, 0.9498)
Si (0.3750, 0.3248, 0.4498)
Si (0.6752, 0.1250, 0.0502)
Si (0.8750, 0.9252, 0.5502)
Sb (0.2500, 0.7500, 0.5000)
Sb (0.5000, 0.5000, 0.0000)

=====

Question: The highest magnetization belongs to which entry?
Answer: MnIn2Cl

=====

Repeat the first record exactly.
# MnIn2Cl

An optimized crystal structure of MnIn2Cl (PBE, the Alexandria database).

Values from the calculation:
excess energy over the best structure of this formula in the dataset: 282.4 meV per atom
raw formation energy: 0.147 eV per atom
VASP energy: -3.976 eV/atom
magnetization: 4.32 μB/f.u.

a = 5.7346 Å, b = 5.7346 Å, c = 5.7346 Å
α = 134.49°, β = 134.49°, γ = 66.32°
Sites, in units of the cell vectors:
Mn (0.0000, 0.0000, 0.0000)
In (0.2500, 0.7500, 0.5000)
In (0.7500, 0.2500, 0.5000)
Cl (0.5000, 0.5000, 0.0000)